(1)
Ca2Zn12Cu3Au after structural relaxation, computed with PBE-GGA.

Unit cell a=10.4215 b=10.4215 c=10.4215 alpha=34.94 beta=34.94 gamma=34.94
Atoms (fractional coordinates):
Zn: 0.4123 0.4123 0.8138
Zn: 0.9022 0.3972 0.9022
Zn: 0.1862 0.5877 0.5877
Zn: 0.4123 0.8138 0.4123
Zn: 0.5877 0.5877 0.1862
Zn: 0.6028 0.0978 0.0978
Zn: 0.0978 0.0978 0.6028
Zn: 0.9022 0.9022 0.3972
Zn: 0.5877 0.1862 0.5877
Zn: 0.8138 0.4123 0.4123
Zn: 0.0978 0.6028 0.0978
Zn: 0.3972 0.9022 0.9022
Ca: 0.6422 0.6422 0.6422
Ca: 0.3578 0.3578 0.3578
Au: 0.0000 0.0000 0.0000
Cu: 0.0000 0.0000 0.5000
Cu: 0.0000 0.5000 0.0000
Cu: 0.5000 0.0000 0.0000

Output
DOS at the Fermi energy in states/eV/atom: 0.248
Raw total energy in eV per atom: -1.960

(2)
CaZnCu2Au4 after structural relaxation, computed with PBE-GGA.

Unit cell a=4.4416 b=4.4416 c=8.9831 alpha=75.69 beta=75.69 gamma=60.00
Atoms (fractional coordinates):
Cu: 0.7582 0.7582 0.7255
Cu: 0.2418 0.2418 0.2745
Au: 0.1289 0.1289 0.6132
Au: 0.3988 0.3988 0.8035
Au: 0.8711 0.8711 0.3868
Au: 0.6012 0.6012 0.1965
Zn: 0.5000 0.5000 0.5000
Ca: 0.0000 0.0000 0.0000

Output
DOS at the Fermi energy in states/eV/atom: 0.255
Raw total energy in eV per atom: -3.330

(3)
CaZn2CuAu4 after structural relaxation, computed with PBE-GGA.

Unit cell a=4.4415 b=4.4415 c=9.1440 alpha=75.94 beta=75.94 gamma=60.00
Atoms (fractional coordinates):
Ca: 0.0000 0.0000 0.0000
Zn: 0.7598 0.7598 0.7207
Zn: 0.2402 0.2402 0.2793
Au: 0.6003 0.6003 0.1990
Au: 0.8673 0.8673 0.3981
Au: 0.3997 0.3997 0.8010
Au: 0.1327 0.1327 0.6019
Cu: 0.5000 0.5000 0.5000

Output
DOS at the Fermi energy in states/eV/atom: 0.321
Raw total energy in eV per atom: -3.043

(4)
CaZn4CuAu2 after structural relaxation, computed with PBE-GGA.

Unit cell a=4.3957 b=4.3957 c=8.9475 alpha=75.78 beta=75.78 gamma=60.00
Atoms (fractional coordinates):
Zn: 0.5971 0.5971 0.2087
Zn: 0.4029 0.4029 0.7913
Zn: 0.8651 0.8651 0.4048
Zn: 0.1349 0.1349 0.5952
Au: 0.2465 0.2465 0.2606
Au: 0.7535 0.7535 0.7394
Cu: 0.5000 0.5000 0.5000
Ca: 0.0000 0.0000 0.0000

Output
DOS at the Fermi energy in states/eV/atom: 0.444
Raw total energy in eV per atom: -2.473

(5)
CaZnCuAu6 after structural relaxation, computed with PBE-GGA.

Unit cell a=7.3947 b=8.8010 c=7.9889 alpha=123.42 beta=117.57 gamma=90.00
Atoms (fractional coordinates):
Au: 0.6758 0.3757 0.7451
Au: 0.6758 0.8694 0.7451
Au: 0.0693 0.3757 0.7451
Au: 0.3242 0.1306 0.2549
Au: 0.0133 0.2633 0.0265
Au: 0.9307 0.6243 0.2549
Au: 0.0693 0.8694 0.7451
Au: 0.4054 0.1554 0.8107
Au: 0.9867 0.7367 0.9735
Au: 0.9307 0.1306 0.2549
Au: 0.3242 0.6243 0.2549
Au: 0.5946 0.8446 0.1893
Cu: 0.5000 0.0000 0.0000
Cu: 0.5000 0.5000 0.0000
Ca: 0.2991 0.5491 0.5982
Ca: 0.7009 0.4509 0.4018
Zn: 0.0000 0.0000 0.5000
Zn: 0.5000 0.0000 0.5000

Output
DOS at the Fermi energy in states/eV/atom: 0.341
Raw total energy in eV per atom: -3.192

(6)
Ca2Zn3CuAu12 after structural relaxation, computed with PBE-GGA.

Unit cell a=9.8435 b=9.8435 c=9.8435 alpha=42.11 beta=42.11 gamma=42.11
Atoms (fractional coordinates):
Au: 0.5858 0.5858 0.1858
Au: 0.0820 0.0820 0.6416
Au: 0.3584 0.9180 0.9180
Au: 0.4142 0.8142 0.4142
Au: 0.0820 0.6416 0.0820
Au: 0.6416 0.0820 0.0820
Au: 0.8142 0.4142 0.4142
Au: 0.4142 0.4142 0.8142
Au: 0.9180 0.3584 0.9180
Au: 0.1858 0.5858 0.5858
Au: 0.9180 0.9180 0.3584
Au: 0.5858 0.1858 0.5858
Zn: 0.5000 0.0000 0.0000
Zn: 0.0000 0.0000 0.5000
Zn: 0.0000 0.5000 0.0000
Ca: 0.3490 0.3490 0.3490
Ca: 0.6510 0.6510 0.6510
Cu: 0.0000 0.0000 0.0000

Output
DOS at the Fermi energy in states/eV/atom: 0.250
Raw total energy in eV per atom: -3.008

(7)
Ca2Zn3Cu12Au after structural relaxation, computed with PBE-GGA.

Unit cell a=9.8199 b=9.8199 c=9.8199 alpha=36.91 beta=36.91 gamma=36.91
Atoms (fractional coordinates):
Ca: 0.3518 0.3518 0.3518
Ca: 0.6482 0.6482 0.6482
Cu: 0.3557 0.9353 0.9353
Cu: 0.9353 0.9353 0.3557
Cu: 0.0647 0.0647 0.6443
Cu: 0.5811 0.5811 0.1935
Cu: 0.4189 0.8065 0.4189
Cu: 0.5811 0.1935 0.5811
Cu: 0.0647 0.6443 0.0647
Cu: 0.1935 0.5811 0.5811
Cu: 0.6443 0.0647 0.0647
Cu: 0.9353 0.3557 0.9353
Cu: 0.4189 0.4189 0.8065
Cu: 0.8065 0.4189 0.4189
Zn: 0.5000 0.0000 0.0000
Zn: 0.0000 0.0000 0.5000
Zn: 0.0000 0.5000 0.0000
Au: 0.0000 0.0000 0.0000

Output
DOS at the Fermi energy in states/eV/atom: 0.398
Raw total energy in eV per atom: -3.240

(8)
Ca2ZnCu2Au5 after structural relaxation, computed with PBE-GGA.

Unit cell a=3.7720 b=10.0478 c=10.0478 alpha=90.00 beta=90.00 gamma=90.00
Atoms (fractional coordinates):
Ca: 0.0000 0.6755 0.1755
Ca: 0.0000 0.3245 0.8245
Ca: 0.0000 0.8245 0.6755
Ca: 0.0000 0.1755 0.3245
Cu: 0.0000 0.8754 0.3754
Cu: 0.0000 0.6246 0.8754
Cu: 0.0000 0.1246 0.6246
Cu: 0.0000 0.3754 0.1246
Au: 0.5000 0.5615 0.6985
Au: 0.5000 0.6985 0.4385
Au: 0.5000 0.1985 0.0615
Au: 0.5000 0.9385 0.1985
Au: 0.5000 0.8015 0.9385
Au: 0.5000 0.0000 0.5000
Au: 0.5000 0.5000 0.0000
Au: 0.5000 0.3015 0.5615
Au: 0.5000 0.0615 0.8015
Au: 0.5000 0.4385 0.3015
Zn: 0.0000 0.5000 0.5000
Zn: 0.0000 0.0000 0.0000

Output
DOS at the Fermi energy in states/eV/atom: 0.365
Raw total energy in eV per atom: -3.404